[1]
Entry from OQMD via LeMat-Bulk: NaAgSnS3 after structural relaxation (PBE).

Summary:
symmetry: Pnma
polymorph energy (0 for the lowest one): 0.046 eV/atom
volume: 23.2 Å³ per atom

abc: 11.925 3.712 12.557
angles: 90.00 90.00 90.00
Fractional positions:
Na (0.171, 0.250, 0.016)
Na (0.329, 0.750, 0.516)
Na (0.671, 0.250, 0.484)
Na (0.829, 0.750, 0.984)
Ag (0.236, 0.250, 0.298)
Ag (0.264, 0.750, 0.798)
Ag (0.736, 0.250, 0.202)
Ag (0.764, 0.750, 0.702)
Sn (0.034, 0.250, 0.709)
Sn (0.466, 0.750, 0.209)
Sn (0.534, 0.250, 0.791)
Sn (0.966, 0.750, 0.291)
S (0.047, 0.750, 0.859)
S (0.061, 0.250, 0.398)
S (0.229, 0.250, 0.653)
S (0.271, 0.750, 0.153)
S (0.439, 0.750, 0.898)
S (0.453, 0.250, 0.359)
S (0.547, 0.750, 0.641)
S (0.561, 0.250, 0.102)
S (0.729, 0.250, 0.847)
S (0.771, 0.750, 0.347)
S (0.939, 0.750, 0.602)
S (0.953, 0.250, 0.141)


[2]
Entry from OQMD via LeMat-Bulk: NaAgSnS3 after structural relaxation (PBE).

Summary:
symmetry: P2_1/m
polymorph energy (0 for the lowest one): 0.025 eV/atom
volume: 22.8 Å³ per atom

abc: 8.239 3.847 8.819
angles: 90.00 101.60 90.00
Fractional positions:
Na (0.154, 0.250, 0.139)
Na (0.846, 0.750, 0.861)
Ag (0.500, 0.250, 0.884)
Ag (0.500, 0.750, 0.116)
Sn (0.179, 0.750, 0.640)
Sn (0.821, 0.250, 0.360)
S (0.052, 0.750, 0.348)
S (0.230, 0.750, 0.936)
S (0.376, 0.250, 0.608)
S (0.624, 0.750, 0.392)
S (0.770, 0.250, 0.064)
S (0.948, 0.250, 0.652)


[3]
Entry from OQMD via LeMat-Bulk: NaTaAgTe2S after structural relaxation (PBE).

Summary:
symmetry: Cmcm
total DFT energy (no corrections): -4.780 eV/atom
volume: 26.3 Å³ per atom

abc: 8.309 8.309 9.757
angles: 90.00 90.00 152.06
Fractional positions:
Na (0.227, 0.773, 0.750)
Na (0.773, 0.227, 0.250)
Ta (0.000, 0.000, 0.000)
Ta (0.000, 0.000, 0.500)
Ag (0.418, 0.582, 0.250)
Ag (0.582, 0.418, 0.750)
Te (0.369, 0.631, 0.513)
Te (0.369, 0.631, 0.987)
Te (0.631, 0.369, 0.013)
Te (0.631, 0.369, 0.487)
S (0.017, 0.983, 0.250)
S (0.983, 0.017, 0.750)